Material: AgBi2Sb2
Method: DFT, GGA-PBE
State: relaxed

Structure (POSCAR):
```
AgBi2Sb2
1.0
8.2836 0.0000 0.0000
0.0000 8.2836 0.0000
0.0000 0.0000 4.3510
Sb Bi Ag
4 4 2
Cartesian
1.2752 5.4169 2.1755
5.4169 7.0084 2.1755
7.0084 2.8666 2.1755
2.8666 1.2752 2.1755
2.8578 6.9996 0.0000
6.9996 5.4257 0.0000
5.4257 1.2839 0.0000
1.2839 2.8578 0.0000
0.0000 0.0000 0.0000
4.1418 4.1418 0.0000
```

Computed properties:
E above lowest polymorph   38 meV per atom
Total moment   0.00 μB per cell
DOS at the Fermi energy   6.7 states/eV/cell